This record from Alexandria describes a relaxed Pr5Co2Hg2 crystal. The functional is GGA-PBE.

**Electronic total energy**: -4.50 eV/atom
**Space-group type**: Cmce, No. 64
**Formation energy from the elements**: -0.202 eV/atom
**Crystal system**: orthorhombic

Unit cell a=9.048 b=9.048 c=7.878 alpha=90.00 beta=90.00 gamma=49.20
Positions (direct):
Pr 0.000 0.000 0.000
Pr 0.057 0.702 0.681
Pr 0.202 0.557 0.181
Pr 0.298 0.943 0.681
Pr 0.443 0.798 0.181
Pr 0.500 0.500 0.500
Pr 0.557 0.202 0.819
Pr 0.702 0.057 0.319
Pr 0.798 0.443 0.819
Pr 0.943 0.298 0.319
Co 0.108 0.892 0.391
Co 0.392 0.608 0.891
Co 0.608 0.392 0.109
Co 0.892 0.108 0.609
Hg 0.219 0.219 0.000
Hg 0.281 0.281 0.500
Hg 0.719 0.719 0.500
Hg 0.781 0.781 0.000